(1)
A plane-wave DFT calculation with PBE was carried out for an optimized crystal structure of Tm2AlSnPt4.

Cell lengths 4.4453, 4.4453, 9.0563 Å; angles 90.00, 90.00, 120.00 degrees
Atoms (fractional coordinates):
1 Al 0.0000 0.0000 0.5000
2 Pt 0.6667 0.3333 0.0968
3 Pt 0.6667 0.3333 0.4189
4 Pt 0.3333 0.6667 0.5811
5 Pt 0.3333 0.6667 0.9032
6 Sn 0.0000 0.0000 0.0000
7 Tm 0.3333 0.6667 0.2549
8 Tm 0.6667 0.3333 0.7451

Computed properties:
E ... -6.214 eV per atom


(2)
A plane-wave DFT calculation with PBE was carried out for an optimized crystal structure of La2PrZn2Si4Au2.

Cell lengths 12.9536, 12.9536, 12.9536 Å; angles 161.04, 160.85, 27.08 degrees
Atoms (fractional coordinates):
1 Au 0.9047 0.4047 0.5000
2 Au 0.0953 0.5953 0.5000
3 La 0.6484 0.1484 0.5000
4 La 0.3516 0.8516 0.5000
5 Pr 0.0000 0.0000 0.0000
6 Si 0.4529 0.4529 0.0000
7 Si 0.5471 0.5471 0.0000
8 Si 0.8061 0.3061 0.5000
9 Si 0.1939 0.6939 0.5000
10 Zn 0.2497 0.2497 0.0000
11 Zn 0.7503 0.7503 0.0000

Computed properties:
E ... -4.826 eV per atom


(3)
A plane-wave DFT calculation with PBE was carried out for an optimized crystal structure of BeCuTcGe.

Cell lengths 4.1414, 4.1414, 4.1414 Å; angles 60.00, 60.00, 60.00 degrees
Atoms (fractional coordinates):
1 Be 0.7500 0.7500 0.7500
2 Cu 0.2500 0.2500 0.2500
3 Ge 0.0000 0.0000 0.0000
4 Tc 0.5000 0.5000 0.5000

Computed properties:
E ... -5.226 eV per atom


(4)
A plane-wave DFT calculation with PBE was carried out for an optimized crystal structure of Dy2I.

Cell lengths 6.6372, 6.6372, 6.6372 Å; angles 60.00, 60.00, 60.00 degrees
Atoms (fractional coordinates):
1 Dy 0.6250 0.6250 0.1250
2 Dy 0.6250 0.1250 0.6250
3 Dy 0.1250 0.6250 0.6250
4 Dy 0.6250 0.6250 0.6250
5 I 0.0000 0.0000 0.0000
6 I 0.2500 0.2500 0.2500

Computed properties:
E ... -3.411 eV per atom


(5)
A plane-wave DFT calculation with PBE was carried out for an optimized crystal structure of PtO4.

Cell lengths 4.8038, 5.3689, 4.9008 Å; angles 90.00, 113.09, 90.00 degrees
Atoms (fractional coordinates):
1 O 0.7761 0.8742 0.0015
2 O 0.7235 0.3847 0.0021
3 O 0.2765 0.3847 0.4979
4 O 0.2239 0.8742 0.4985
5 O 0.7761 0.1258 0.5015
6 O 0.7235 0.6153 0.5021
7 O 0.2765 0.6153 0.9979
8 O 0.2239 0.1258 0.9985
9 Pt 0.0000 0.1724 0.2500
10 Pt 0.0000 0.8276 0.7500

Computed properties:
E ... -4.732 eV per atom


(6)
A plane-wave DFT calculation with PBE was carried out for an optimized crystal structure of Fe3Ge.

Cell lengths 4.4258, 4.4258, 4.4258 Å; angles 131.25, 131.25, 71.41 degrees
Atoms (fractional coordinates):
1 Fe 0.5000 0.5000 0.0000
2 Fe 0.7500 0.2500 0.5000
3 Fe 0.2500 0.7500 0.5000
4 Ge 0.0000 0.0000 0.0000

Computed properties:
E ... -7.474 eV per atom